A plane-wave DFT calculation with GGA-PBE was carried out for a relaxed Pu4SnGe2 crystal.

Cell: 4.9945 4.9945 7.9609 Å, 71.72 71.72 60.00°
Element x y z (fractional)
Pu 0.4185 0.4185 0.7445
Pu 0.2490 0.2490 0.2529
Pu 0.7510 0.7510 0.7471
Pu 0.5815 0.5815 0.2555
Sn 0.0000 0.0000 0.0000
Ge 0.1205 0.1205 0.6385
Ge 0.8795 0.8795 0.3615

Its energy of formation from the pure elements is -70.4 meV per atom. The density of states at the Fermi level comes out at 4.432 states/eV/atom. Its symmetry is R-3m.